Below is a geometry-optimized NdGdHoHg structure, with properties calculated at the PBE-GGA level.

Summary:
The crystal system is cubic.

a b c (Å): 7.7468 7.7468 7.7468
angles (deg): 90.00 90.00 90.00
Last column: nearest neighbours and their distance in Å.
Space group F-43m (No. 216)
Inequivalent atoms, fractional coordinates:
Nd 0.0000 0.0000 0.0000 (multiplicity 4)  4 Hg 3.35, 4 Ho 3.35
Gd 0.0000 0.0000 0.5000 (multiplicity 4)  4 Hg 3.35, 4 Ho 3.35
Ho 0.2500 0.2500 0.7500 (multiplicity 4)  4 Gd 3.35, 4 Nd 3.35
Hg 0.2500 0.2500 0.2500 (multiplicity 4)  4 Gd 3.35, 4 Nd 3.35


Below is a geometry-optimized GdHoHgPt structure, with properties calculated at the PBE-GGA level.

Summary:
The crystal system is cubic.

a b c (Å): 7.2204 7.2204 7.2204
angles (deg): 90.00 90.00 90.00
Last column: nearest neighbours and their distance in Å.
Space group F-43m (No. 216)
Inequivalent atoms, fractional coordinates:
Gd 0.0000 0.0000 0.0000 (multiplicity 4)  4 Hg 3.13, 4 Pt 3.13
Ho 0.0000 0.0000 0.5000 (multiplicity 4)  4 Hg 3.13, 4 Pt 3.13
Hg 0.2500 0.2500 0.7500 (multiplicity 4)  4 Gd 3.13, 4 Ho 3.13
Pt 0.2500 0.2500 0.2500 (multiplicity 4)  4 Gd 3.13, 4 Ho 3.13


Below is a geometry-optimized GdHoHgRh structure, with properties calculated at the PBE-GGA level.

Summary:
The crystal system is cubic.

a b c (Å): 7.1646 7.1646 7.1646
angles (deg): 90.00 90.00 90.00
Last column: nearest neighbours and their distance in Å.
Space group F-43m (No. 216)
Inequivalent atoms, fractional coordinates:
Gd 0.0000 0.0000 0.0000 (multiplicity 4)  4 Rh 3.10, 4 Hg 3.10
Ho 0.0000 0.0000 0.5000 (multiplicity 4)  4 Hg 3.10, 4 Rh 3.10
Hg 0.2500 0.2500 0.7500 (multiplicity 4)  4 Gd 3.10, 4 Ho 3.10
Rh 0.2500 0.2500 0.2500 (multiplicity 4)  4 Gd 3.10, 4 Ho 3.10


The following energy relative to the elements values (in eV/atom) correspond, in order, to the records above: -0.08; -0.81; -0.60.